1.
4
Lattice="2.930 0.000 0.000 0.000 2.930 0.000 0.000 0.000 10.733" Properties=species:S:1:pos:R:3 comment="GGA-PBE CrIrCl2, relaxed" energy_ev_per_atom=-4.87 de_polymorph_mev_per_atom=860 vol_a3_per_atom=23.042 raw_formation_energy_ev_per_atom=0.678 magmom_total_mub_per_cell=5.64 rho_g_cm3=5.7 space_group="P4/mmm (123)" pbc="T T T"
Cl 0.000 0.000 1.141
Cr 1.465 1.465 2.683
Cl 0.000 0.000 4.226
Ir 1.465 1.465 8.050

=====

2.
9
Lattice="4.910 0.000 0.000 2.455 5.094 -0.603 2.455 1.427 6.046" Properties=species:S:1:pos:R:3 comment="GGA-PBE Zn2CrAu6, relaxed" energy_ev_per_atom=-3.58 de_polymorph_mev_per_atom=12 vol_a3_per_atom=17.269 magmom_total_mub_per_cell=3.95 rho_g_cm3=14.6 space_group="C2/m (12)" formation_enthalpy_0k_ev_per_atom=-0.043 pbc="T T T"
Zn 4.910 5.607 3.144
Au 7.365 2.703 5.471
Au 4.910 3.473 1.336
Au 7.365 5.419 4.378
Cr 2.455 3.260 2.721
Au 4.910 3.047 4.107
Au 2.455 1.102 1.064
Au 2.455 3.817 -0.029
Zn 4.910 0.913 2.298

=====

3.
6
Lattice="-0.973 -3.452 -3.043 0.780 -4.314 4.647 -6.716 -1.475 3.821" Properties=species:S:1:pos:R:3 comment="GGA-PBE CaAcPb4, relaxed" energy_ev_per_atom=-3.75 de_polymorph_mev_per_atom=113 vol_a3_per_atom=36.509 magmom_total_mub_per_cell=0.00 rho_g_cm3=8.3 space_group="P2/m (10)" formation_enthalpy_0k_ev_per_atom=-0.263 pbc="T T T"
Pb -1.217 -6.015 3.568
Pb -5.672 -3.206 1.808
Pb -4.426 -2.852 4.643
Ca -2.568 -5.042 6.533
Ac -6.804 -5.348 4.599
Pb -1.493 -2.918 3.778